# 1
Entry from Alexandria: crystalline LiPmAu4 at its relaxed geometry (PBE).

Cell: 5.4898 6.8629 7.2011 Å, 90.00 90.13 90.00°
Space group C2/m (No. 12)
One atom of each set of equivalent atoms:
Li1 0.0000 0.0000 0.0000 [2 per cell]
Pm1 0.0000 0.5000 0.5000 [2 per cell]
Au1 0.2498 0.2505 0.2094 [8 per cell]

***

# 2
Entry from Alexandria: crystalline Ce8Sn2Ru3 at its relaxed geometry (PBE).

Cell: 16.8213 6.6972 6.0753 Å, 90.00 91.60 90.00°
Space group C2/m (No. 12)
One atom of each set of equivalent atoms:
Ce1 0.0837 0.0000 0.3808 [4 per cell]
Ce2 0.1017 0.2150 0.8901 [8 per cell]
Ce3 0.1666 0.5000 0.3437 [4 per cell]
Sn1 0.2492 0.0000 0.1662 [4 per cell]
Ru1 0.0000 0.3006 0.5000 [4 per cell]
Ru2 0.0000 0.5000 0.0000 [2 per cell]

***

no.,energy of formation (eV per atom)
1,-0.4569
2,-0.2193